Record 1
{"formula": "KErTeS", "functional": "PBE", "state": "optimized geometry", "crystal_system": "trigonal", "cell": [[4.193, 0.000, 0.000], [-2.096, 3.632, 0.000], [-2.095, -1.211, 8.054]], "species": ["K", "Er", "Te", "S"], "fractional_positions": [[0.977, 0.387, 0.379], [0.287, 0.541, 0.844], [0.107, 0.952, 0.074], [0.506, 0.151, 0.673]]}

***

Record 2
{"formula": "K2ErThS4", "functional": "PBE", "state": "optimized geometry", "crystal_system": "monoclinic", "cell": [[4.055, 0.000, 0.000], [0.000, 7.050, 0.135], [0.000, -2.461, 7.381]], "species": ["K", "K", "Er", "Th", "S", "S", "S", "S"], "fractional_positions": [[0.500, 0.000, 0.500], [0.000, 0.500, 0.500], [0.500, 0.500, 0.000], [0.000, 0.000, 0.000], [0.500, 0.245, 0.211], [0.500, 0.755, 0.789], [0.000, 0.271, 0.797], [0.000, 0.729, 0.203]]}

***

Number 1: E_form (uncorrected) -1566 meV/atom, M_tot 0.0 μB/f.u.. Number 2: E_form (uncorrected) -1768 meV/atom, M_tot 0.0 μB/f.u..